# 1
Entry from Alexandria via LeMat-Bulk: a relaxed Ce6Ge3S14 crystal (PBE).

## Properties
- electronic total energy (eV/atom) = -6.08
- ρ (g/cm³) = 4.74
- symmetry = P3, No. 143
- total magnetization (Bohr magnetons per cell) = 6.05

Cell and atoms, written as extended XYZ:
```
23
Lattice="-5.184 -2.388 1.079 3.729 -9.218 -2.484 0.503 3.289 9.695" Properties=species:S:1:pos:R:3 pbc="T T T"
Ce 1.746 -7.554 -0.715
Ce -1.798 -2.601 9.176
Ce -1.611 -4.913 4.956
Ce 2.433 -6.585 4.727
Ce -0.004 -2.753 1.502
Ce -3.579 -0.526 5.213
S -4.081 -0.694 9.603
S -0.032 -3.678 7.038
S -4.681 -2.339 3.084
S 1.185 -4.226 3.677
S -3.372 -3.161 6.666
S 2.444 -7.689 2.064
S -1.795 -6.651 7.402
S -1.478 -0.412 7.316
S -0.379 -7.447 4.412
S -2.102 -4.748 2.106
S -0.854 -8.157 0.560
S -2.311 -1.064 0.481
S -1.379 -2.063 4.138
S 0.683 -4.914 -0.255
Ge -0.162 -1.682 5.997
Ge -4.281 -1.972 0.891
Ge 0.140 -6.207 2.099
```


# 2
Entry from Alexandria via LeMat-Bulk: a relaxed Ce6GeS12 crystal (PBE).

## Properties
- electronic total energy (eV/atom) = -6.41
- ρ (g/cm³) = 4.54
- symmetry = R-3, No. 148
- total magnetization (Bohr magnetons per cell) = 2.31

Cell and atoms, written as extended XYZ:
```
19
Lattice="7.865 -0.475 -0.933 -0.993 7.817 -0.933 -0.445 -0.475 7.908" Properties=species:S:1:pos:R:3 pbc="T T T"
Ce 4.785 2.234 5.847
Ce 1.643 4.633 0.194
Ce 1.824 6.266 4.413
Ce 5.954 4.922 1.547
Ce 4.604 0.601 1.628
Ce 0.474 1.945 4.494
S 7.273 -0.137 1.551
S 1.510 7.248 -0.712
S 2.986 0.905 4.035
S -0.269 1.985 7.163
S 4.071 3.039 0.455
S -0.845 7.004 4.491
S 0.625 4.263 2.730
S 6.697 4.882 -1.122
S 4.918 -0.381 6.753
S 3.442 5.962 2.006
S 2.357 3.828 5.587
S 5.803 2.604 3.311
Ge 0.000 0.000 0.000
```


# 3
Entry from Alexandria via LeMat-Bulk: a relaxed CeGeS3 crystal (PBE).

## Properties
- ρ (g/cm³) = 3.90
- symmetry = P2_1/m, No. 11
- total magnetization (Bohr magnetons per cell) = 0.31
- energy above the most stable polymorph in this dataset (eV per atom) = 0.000

Cell and atoms, written as extended XYZ:
```
10
Lattice="3.989 0.000 0.000 0.000 7.209 0.051 0.000 1.264 9.166" Properties=species:S:1:pos:R:3 pbc="T T T"
Ce 2.992 2.593 3.723
Ce 0.997 5.880 5.493
Ge 0.997 1.026 0.865
Ge 2.992 7.447 8.351
S 2.992 2.494 0.956
S 0.997 4.343 3.218
S 2.992 4.130 5.998
S 2.992 7.809 5.994
S 0.997 5.979 8.260
S 0.997 0.664 3.222
```


# 4
Entry from Alexandria via LeMat-Bulk: a relaxed Ce8Ge5S crystal (PBE).

## Properties
- electronic total energy (eV/atom) = -6.17
- ρ (g/cm³) = 7.18
- symmetry = I-4, No. 82
- total magnetization (Bohr magnetons per cell) = 6.41

Cell and atoms, written as extended XYZ:
```
14
Lattice="7.264 0.000 -2.535 -3.606 6.287 -2.579 -0.051 0.000 7.693" Properties=species:S:1:pos:R:3 pbc="T T T"
Ge 3.146 3.987 1.304
Ge 5.908 2.300 -2.559
Ge 2.246 0.769 -1.222
Ge 3.606 0.000 2.579
Ge 3.227 5.518 -2.594
S -0.025 3.144 3.847
Ce 1.188 5.572 2.890
Ce 1.036 1.660 1.620
Ce 3.038 2.474 4.163
Ce 6.726 0.715 2.769
Ce 4.672 1.619 0.299
Ce -1.738 4.627 -2.122
Ce -1.813 4.669 1.746
Ce 1.315 3.813 -1.050
```


# 5
Entry from Alexandria via LeMat-Bulk: a relaxed Ce5GeS4 crystal (PBE).

## Properties
- electronic total energy (eV/atom) = -6.85
- ρ (g/cm³) = 6.28
- symmetry = I4/mmm, No. 139
- total magnetization (Bohr magnetons per cell) = 2.89

Cell and atoms, written as extended XYZ:
```
10
Lattice="4.029 0.000 -0.568 -0.080 4.028 -0.568 0.014 0.014 14.675" Properties=species:S:1:pos:R:3 pbc="T T T"
S 1.587 1.619 11.263
S 2.375 2.423 2.276
S 3.164 3.227 7.869
S 0.799 0.815 5.671
Ce 1.191 1.215 8.453
Ce 0.407 0.415 2.886
Ce 1.975 2.014 -0.568
Ce 3.556 3.627 10.654
Ce 2.771 2.827 5.086
Ge 0.000 0.000 0.000
```


# 6
Entry from Alexandria via LeMat-Bulk: a relaxed CeGeSeS2 crystal (PBE).

## Properties
- electronic total energy (eV/atom) = -5.52
- ρ (g/cm³) = 3.89
- symmetry = P2_1/m, No. 11
- total magnetization (Bohr magnetons per cell) = 0.00

Cell and atoms, written as extended XYZ:
```
10
Lattice="4.039 0.000 0.000 0.000 7.665 -0.507 0.000 -3.526 10.058" Properties=species:S:1:pos:R:3 pbc="T T T"
Ge 3.029 3.420 3.550
Ge 1.010 0.720 6.002
S 1.010 0.434 8.440
S 3.029 3.705 1.111
S 3.029 2.175 6.255
S 1.010 1.964 3.296
Ce 1.010 1.911 0.448
Ce 3.029 2.228 9.104
Se 1.010 6.807 0.756
Se 3.029 -2.667 8.796
```


# 7
Entry from Alexandria via LeMat-Bulk: a relaxed Ce6Ge2SeS3 crystal (PBE).

## Properties
- electronic total energy (eV/atom) = -6.63
- ρ (g/cm³) = 6.45
- symmetry = C2/m, No. 12
- total magnetization (Bohr magnetons per cell) = 3.86

Cell and atoms, written as extended XYZ:
```
12
Lattice="-0.333 -4.109 -0.360 3.285 -0.924 7.504 -8.639 2.619 1.891" Properties=species:S:1:pos:R:3 pbc="T T T"
S 1.476 -2.517 3.572
S -0.198 -0.583 6.827
S -5.490 -1.832 2.208
Ce -2.793 -0.479 8.047
Ce -8.084 -1.732 3.463
Ce -1.133 -2.413 4.802
Ce -2.895 -1.936 0.988
Ce -4.555 -0.002 4.233
Ce 2.396 -0.683 5.572
Ge -3.855 -2.295 5.973
Ge -1.833 -0.120 3.062
Se -0.167 -2.054 -0.180
```


# 8
Entry from Alexandria via LeMat-Bulk: a relaxed Ce6Ge3SeS2 crystal (PBE).

## Properties
- electronic total energy (eV/atom) = -6.44
- ρ (g/cm³) = 6.49
- symmetry = C2/m, No. 12
- total magnetization (Bohr magnetons per cell) = 3.63

Cell and atoms, written as extended XYZ:
```
12
Lattice="4.185 0.000 0.000 0.000 8.303 0.344 -2.092 -2.344 8.754" Properties=species:S:1:pos:R:3 pbc="T T T"
Ce 2.092 4.012 3.149
Ce 0.000 6.005 6.121
Ce 0.000 2.093 0.138
Ce 2.092 3.866 8.960
Ce 0.000 1.947 5.949
Ce 2.092 -0.046 2.977
Ge 2.092 -0.177 5.922
Ge 2.092 4.152 0.172
Ge 0.000 6.136 3.176
S 2.092 3.974 6.052
S 0.000 1.985 3.046
Se 2.092 0.000 0.000
```